[1]
Here is a relaxed K2Tl2In crystal from Alexandria. Energies are from GGA-PBE.

abc: 7.1537 7.1537 8.6242
angles: 74.31 74.31 66.55
With the nearest neighbours (Å) after each atom.
Atoms (fractional coordinates):
Tl  0.0652  0.7636  0.9507  2 In 3.08-3.16, 2 Tl 3.40-3.41
Tl  0.9348  0.2364  0.0493  2 In 3.08-3.16, 2 Tl 3.40-3.41
K  0.2537  0.3990  0.6538  5 Tl 3.65-3.76, 3 In 3.83-3.91
K  0.6010  0.7463  0.8462  5 Tl 3.65-3.76, 3 In 3.83-3.91
In  0.1886  0.8114  0.2500  4 Tl 3.08-3.16
Tl  0.7636  0.0652  0.4507  2 In 3.08-3.16, 2 Tl 3.40-3.41
Tl  0.2364  0.9348  0.5493  2 In 3.08-3.16, 2 Tl 3.40-3.41
K  0.7463  0.6010  0.3462  5 Tl 3.65-3.76, 3 In 3.83-3.91
K  0.3990  0.2537  0.1538  5 Tl 3.65-3.76, 3 In 3.83-3.91
In  0.8114  0.1886  0.7500  4 Tl 3.08-3.16

M_tot ... 0.000 μB/cell
Energy ... -20.381 eV for the cell shown
DOS(E_F) ... 2.6 states/eV/f.u.
Offset from the most stable computed form ... 0.00 kcal/mol of atoms

[2]
Here is a relaxed K3Tl3In8 crystal from Alexandria. Energies are from GGA-PBE.

abc: 5.1011 9.8185 9.8185
angles: 73.20 74.94 74.94
With the nearest neighbours (Å) after each atom.
Atoms (fractional coordinates):
Tl  0.0000  0.8057  0.1943  6 In 3.22-3.41, 2 Tl 3.42
K  0.8088  0.1912  0.1912  4 Tl 3.65-3.83, 10 In 3.66-3.94
In  0.3512  0.9170  0.3807  3 In 3.04
K  0.5000  0.5000  0.5000  12 In 3.84-3.85
Tl  0.0000  0.1943  0.8057  6 In 3.22-3.41, 2 Tl 3.42
In  0.6488  0.6193  0.0830  3 In 3.04
Tl  0.5000  0.0000  0.0000  4 Tl 3.42, 4 In 3.51, 4 K 3.83
In  0.8353  0.7924  0.5370  4 In 2.99-3.04, 1 Tl 3.22
In  0.1647  0.2076  0.4630  4 In 2.99-3.04, 1 Tl 3.22
In  0.8353  0.5370  0.7924  4 In 2.99-3.04, 1 Tl 3.22
In  0.3512  0.3807  0.9170  3 In 3.04
In  0.1647  0.4630  0.2076  4 In 2.99-3.04, 1 Tl 3.22
K  0.1912  0.8088  0.8088  4 Tl 3.65-3.83, 10 In 3.66-3.94
In  0.6488  0.0830  0.6193  3 In 3.04

M_tot ... 0.000 μB/cell
Energy ... -33.663 eV for the cell shown
DOS(E_F) ... 7.6 states/eV/f.u.

[3]
Here is a relaxed KTl3In2 crystal from Alexandria. Energies are from GGA-PBE.

abc: 6.3160 7.9861 7.9861
angles: 90.15 90.00 90.00
With the nearest neighbours (Å) after each atom.
Atoms (fractional coordinates):
Tl  0.2500  0.5702  0.9086  4 In 3.24-3.48, 1 Tl 3.27
Tl  0.2500  0.9086  0.5702  4 In 3.24-3.48, 1 Tl 3.27
Tl  0.2500  0.9748  0.9748  4 Tl 3.21-3.27, 4 In 3.33
K  0.2500  0.3081  0.3081  7 Tl 3.73-3.82, 4 In 3.83
In  0.0000  0.7424  0.2576  2 In 3.16, 6 Tl 3.24-3.48
Tl  0.7500  0.4298  0.0914  4 In 3.24-3.48, 1 Tl 3.27
K  0.7500  0.6919  0.6919  7 Tl 3.73-3.82, 4 In 3.83
In  0.5000  0.2576  0.7424  2 In 3.16, 6 Tl 3.24-3.48
Tl  0.7500  0.0914  0.4298  4 In 3.24-3.48, 1 Tl 3.27
In  0.5000  0.7424  0.2576  2 In 3.16, 6 Tl 3.24-3.48
Tl  0.7500  0.0252  0.0252  4 Tl 3.21-3.27, 4 In 3.33
In  0.0000  0.2576  0.7424  2 In 3.16, 6 Tl 3.24-3.48

M_tot ... 0.000 μB/cell
Energy ... -27.669 eV for the cell shown
DOS(E_F) ... 2.9 states/eV/f.u.
Offset from the most stable computed form ... 0.00 kcal/mol of atoms

[4]
Here is a relaxed K3Tl2In7 crystal from Alexandria. Energies are from GGA-PBE.

abc: 6.4817 6.4817 11.1726
angles: 73.14 73.14 60.00
With the nearest neighbours (Å) after each atom.
Atoms (fractional coordinates):
In  0.4115  0.9206  0.2564  5 In 3.18-3.30, 2 Tl 3.25-3.32
In  0.4115  0.4115  0.2564  5 In 3.18-3.30, 2 Tl 3.25-3.32
In  0.0794  0.5885  0.7436  5 In 3.18-3.30, 2 Tl 3.25-3.32
Tl  0.6644  0.6644  0.0068  6 In 3.25-3.32
In  0.5000  0.5000  0.5000  6 In 3.19
In  0.5885  0.0794  0.7436  5 In 3.18-3.30, 2 Tl 3.25-3.32
In  0.5885  0.5885  0.7436  5 In 3.18-3.30, 2 Tl 3.25-3.32
Tl  0.3356  0.3356  0.9932  6 In 3.25-3.32
K  0.1424  0.1424  0.5727  12 In 3.71-3.82, 3 K 4.04
K  0.0000  0.0000  0.0000  6 Tl 3.74
K  0.8576  0.8576  0.4273  12 In 3.71-3.82, 3 K 4.04
In  0.9206  0.4115  0.2564  5 In 3.18-3.30, 2 Tl 3.25-3.32

M_tot ... 0.000 μB/cell
Energy ... -28.291 eV for the cell shown
DOS(E_F) ... 6.2 states/eV/f.u.

[5]
Here is a relaxed KTlIn3 crystal from Alexandria. Energies are from GGA-PBE.

abc: 6.0824 6.0824 6.0824
angles: 90.00 90.00 90.00
With the nearest neighbours (Å) after each atom.
Atoms (fractional coordinates):
In  0.0000  0.5000  0.0000  2 K 3.04
In  0.0000  0.0000  0.5000  2 K 3.04
In  0.5000  0.0000  0.0000  2 K 3.04
Tl  0.5000  0.5000  0.5000  12 In 4.30
K  0.0000  0.0000  0.0000  6 In 3.04

M_tot ... 0.000 μB/cell
Energy ... -7.992 eV for the cell shown
DOS(E_F) ... 4.0 states/eV/f.u.
Offset from the most stable computed form ... 19.16 kcal/mol of atoms

[6]
Here is a relaxed KTlIn2 crystal from Alexandria. Energies are from GGA-PBE.

abc: 5.3974 6.6570 7.8010
angles: 90.00 90.00 113.92
With the nearest neighbours (Å) after each atom.
Atoms (fractional coordinates):
K  0.9141  0.8281  0.2500  3 Tl 3.59-3.68, 10 In 3.62-4.00
In  0.6221  0.2442  0.0549  2 In 3.04-3.09, 3 Tl 3.15-3.27
Tl  0.7914  0.5828  0.7500  6 In 3.15-3.27
Tl  0.2086  0.4172  0.2500  6 In 3.15-3.27
In  0.3779  0.7558  0.9451  2 In 3.04-3.09, 3 Tl 3.15-3.27
In  0.6221  0.2442  0.4451  2 In 3.04-3.09, 3 Tl 3.15-3.27
In  0.3779  0.7558  0.5549  2 In 3.04-3.09, 3 Tl 3.15-3.27
K  0.0859  0.1719  0.7500  3 Tl 3.59-3.68, 10 In 3.62-4.00

M_tot ... 0.000 μB/cell
Energy ... -18.632 eV for the cell shown
DOS(E_F) ... 1.2 states/eV/f.u.
Offset from the most stable computed form ... 0.28 kcal/mol of atoms

[7]
Here is a relaxed K2Tl5In crystal from Alexandria. Energies are from GGA-PBE.

abc: 5.6206 5.6206 9.3322
angles: 107.53 107.53 90.00
With the nearest neighbours (Å) after each atom.
Atoms (fractional coordinates):
In  0.0000  0.0000  0.0000  8 Tl 3.32
K  0.7510  0.7510  0.5020  8 Tl 3.72-3.74, 4 K 3.97
K  0.2490  0.2490  0.4980  8 Tl 3.72-3.74, 4 K 3.97
Tl  0.1045  0.6045  0.2090  2 In 3.32, 3 Tl 3.32-3.53
Tl  0.3955  0.8955  0.7910  3 Tl 3.32-3.53, 2 In 3.32
Tl  0.6045  0.1045  0.2090  3 Tl 3.32-3.53, 2 In 3.32
Tl  0.5000  0.5000  0.0000  8 Tl 3.32
Tl  0.8955  0.3955  0.7910  2 In 3.32, 3 Tl 3.32-3.53

M_tot ... 0.000 μB/cell
Energy ... -17.414 eV for the cell shown
DOS(E_F) ... 4.6 states/eV/f.u.

[8]
Here is a relaxed K2TlIn10 crystal from Alexandria. Energies are from GGA-PBE.

abc: 6.5039 11.3962 12.6371
angles: 90.00 90.00 90.00
With the nearest neighbours (Å) after each atom.
Atoms (fractional coordinates):
In  0.0000  0.6229  0.9644  5 In 2.94-3.12
In  0.0000  0.2202  0.8337  5 In 3.01-3.33, 1 Tl 3.27
In  0.7271  0.6941  0.3750  3 In 2.95-3.13, 1 Tl 3.25
In  0.0000  0.7202  0.6663  5 In 3.01-3.33, 1 Tl 3.27
In  0.7271  0.3059  0.6250  3 In 2.95-3.13, 1 Tl 3.25
In  0.0000  0.7798  0.1663  5 In 3.01-3.33, 1 Tl 3.27
In  0.2729  0.8059  0.8750  3 In 2.95-3.13, 1 Tl 3.25
In  0.0000  0.2798  0.3337  5 In 3.01-3.33, 1 Tl 3.27
Tl  0.0000  0.5000  0.5000  8 In 3.25-3.28
In  0.0000  0.5229  0.2414  5 In 3.01-3.13, 1 Tl 3.28
In  0.7271  0.8059  0.8750  3 In 2.95-3.13, 1 Tl 3.25
In  0.2729  0.3059  0.6250  3 In 2.95-3.13, 1 Tl 3.25
K  0.5000  0.6150  0.1139  10 In 3.72-4.00, 1 K 3.89
In  0.2729  0.1941  0.1250  3 In 2.95-3.13, 1 Tl 3.25
In  0.0000  0.0229  0.2586  5 In 3.01-3.13, 1 Tl 3.28
K  0.5000  0.3850  0.8861  10 In 3.72-4.00, 1 K 3.89
In  0.0000  0.8771  0.4644  5 In 2.94-3.12
In  0.0000  0.9771  0.7413  5 In 3.01-3.13, 1 Tl 3.28
Tl  0.0000  0.0000  0.0000  8 In 3.25-3.28
K  0.5000  0.1150  0.3861  10 In 3.72-4.00, 1 K 3.89
K  0.5000  0.8850  0.6139  10 In 3.72-4.00, 1 K 3.89
In  0.0000  0.3771  0.0356  5 In 2.94-3.12
In  0.2729  0.6941  0.3750  3 In 2.95-3.13, 1 Tl 3.25
In  0.7271  0.1941  0.1250  3 In 2.95-3.13, 1 Tl 3.25
In  0.0000  0.4771  0.7587  5 In 3.01-3.13, 1 Tl 3.28
In  0.0000  0.1229  0.5356  5 In 2.94-3.12

M_tot ... 0.000 μB/cell
Energy ... -62.625 eV for the cell shown
DOS(E_F) ... 5.7 states/eV/f.u.

[9]
Here is a relaxed K2TlIn crystal from Alexandria. Energies are from GGA-PBE.

abc: 3.7875 3.7875 10.6019
angles: 90.00 90.00 90.00
With the nearest neighbours (Å) after each atom.
Atoms (fractional coordinates):
In  0.5000  0.5000  0.7500  8 K 3.76, 4 In 3.79
K  0.0000  0.0000  0.5017  4 In 3.76, 4 Tl 3.78, 4 K 3.79
Tl  0.5000  0.5000  0.2500  8 K 3.78, 4 Tl 3.79
K  0.0000  0.0000  0.9983  4 In 3.76, 4 Tl 3.78, 4 K 3.79

M_tot ... 0.000 μB/cell
Energy ... -7.113 eV for the cell shown
DOS(E_F) ... 4.7 states/eV/f.u.
Offset from the most stable computed form ... 3.30 kcal/mol of atoms

[10]
Here is a relaxed KTl3In2 crystal from Alexandria. Energies are from GGA-PBE.

abc: 6.2682 8.7116 8.7116
angles: 117.88 90.00 90.00
With the nearest neighbours (Å) after each atom.
Atoms (fractional coordinates):
K  0.7500  0.6721  0.6721  9 Tl 3.68-4.00
Tl  0.7500  0.1563  0.4869  4 In 3.14-3.31, 1 Tl 3.28
Tl  0.7500  0.0816  0.0816  4 Tl 3.28-3.46, 4 In 3.29
Tl  0.2500  0.9184  0.9184  4 Tl 3.28-3.46, 4 In 3.29
Tl  0.2500  0.8437  0.5131  4 In 3.14-3.31, 1 Tl 3.28
In  0.5000  0.1877  0.8123  2 In 3.13, 6 Tl 3.14-3.31
Tl  0.7500  0.4869  0.1563  4 In 3.14-3.31, 1 Tl 3.28
K  0.2500  0.3279  0.3279  9 Tl 3.68-4.00
In  0.0000  0.1877  0.8123  2 In 3.13, 6 Tl 3.14-3.31
Tl  0.2500  0.5131  0.8437  4 In 3.14-3.31, 1 Tl 3.28
In  0.5000  0.8123  0.1877  2 In 3.13, 6 Tl 3.14-3.31
In  0.0000  0.8123  0.1877  2 In 3.13, 6 Tl 3.14-3.31

M_tot ... 0.000 μB/cell
Energy ... -27.425 eV for the cell shown
DOS(E_F) ... 2.7 states/eV/f.u.
Offset from the most stable computed form ... 0.47 kcal/mol of atoms

[11]
Here is a relaxed KTlIn2 crystal from Alexandria. Energies are from GGA-PBE.

abc: 5.1366 5.1366 7.0887
angles: 68.76 68.76 60.00
With the nearest neighbours (Å) after each atom.
Atoms (fractional coordinates):
In  0.0482  0.0482  0.8554  3 Tl 3.04
K  0.4927  0.4927  0.5219  1 Tl 3.61, 6 In 3.66-3.76
In  0.2794  0.2794  0.1617  3 Tl 3.23, 3 In 3.56
Tl  0.6797  0.6797  0.9610  6 In 3.04-3.23

M_tot ... 0.000 μB/cell
Energy ... -8.984 eV for the cell shown
DOS(E_F) ... 1.4 states/eV/f.u.
Offset from the most stable computed form ... 2.20 kcal/mol of atoms

no.,formation energy from the elements (eV per atom)
1,-0.1049
2,-0.0975
3,-0.0269
4,-0.0914
5,0.7373
6,-0.0939
7,-0.0811
8,0.0487
9,0.0467
10,-0.0066
11,-0.0109